# 1
{
  "formula": "VMo2W",
  "functional": "GGA-PBE",
  "state": "relaxed",
  "lattice_angstrom": [[-3.510, 3.510, 2.669], [3.510, -3.510, 2.669], [3.510, 3.510, -2.669]],
  "species": ["V", "V", "Mo", "Mo", "Mo", "Mo", "W", "W"],
  "frac_coords": [[0.000, 0.000, 0.000], [0.750, 0.250, 0.500], [0.117, 0.125, 0.492], [0.375, 0.883, 0.008], [0.633, 0.625, 0.508], [0.875, 0.367, 0.992], [0.250, 0.750, 0.500], [0.500, 0.500, 0.000]],
  "delta_e_f_ev_per_atom": 0.780,
  "dos_ef_per_ev_atom": 0.928,
  "spacegroup": "I-42d, No. 122",
  "rho_g_cm3": 10.78,
  "total_magnetization_mub_per_atom": 0.00
}

---

# 2
{
  "formula": "YV2Mo",
  "functional": "GGA-PBE",
  "state": "relaxed",
  "lattice_angstrom": [[-2.250, 2.250, 8.741], [2.250, -2.250, 8.741], [2.250, 2.250, -8.741]],
  "species": ["Y", "Y", "V", "V", "V", "V", "Mo", "Mo"],
  "frac_coords": [[0.000, 0.000, 0.000], [0.750, 0.250, 0.500], [0.364, 0.125, 0.739], [0.375, 0.636, 0.761], [0.386, 0.625, 0.261], [0.875, 0.614, 0.239], [0.250, 0.750, 0.500], [0.500, 0.500, 0.000]],
  "delta_e_f_ev_per_atom": 0.949,
  "dos_ef_per_ev_atom": 1.603,
  "spacegroup": "I-42d, No. 122",
  "rho_g_cm3": 5.38,
  "total_magnetization_mub_per_atom": 0.00
}